ThNiGe2Rh2 PBE-GGA relaxed; space group = P4/mmm
1.0
4.4452 0.0000 0.0000
0.0000 4.4452 0.0000
0.0000 0.0000 5.4994
Th Ni Ge Rh
1 1 2 2
Cartesian
0.0000 0.0000 0.0000
0.0000 0.0000 2.7497
0.0000 2.2226 2.7497
2.2226 0.0000 2.7497
2.2226 2.2226 1.3281
2.2226 2.2226 4.1713

---

Th4NiGe3Rh12 PBE-GGA relaxed; space group = Im-3m
1.0
-4.5879 4.5879 4.5879
4.5879 -4.5879 4.5879
4.5879 4.5879 -4.5879
Th Ni Ge Rh
4 1 3 12
Cartesian
2.2939 2.2939 -2.2939
2.2939 -2.2939 2.2939
-2.2939 2.2939 2.2939
2.2939 2.2939 2.2939
0.0000 0.0000 0.0000
4.5879 0.0000 0.0000
0.0000 4.5879 0.0000
0.0000 0.0000 4.5879
2.3137 0.0000 0.0000
6.8620 0.0000 0.0000
4.5879 2.2939 0.0000
4.5879 0.0000 2.2939
0.0000 2.3137 0.0000
0.0000 0.0000 2.3137
2.2939 4.5879 0.0000
2.2939 0.0000 4.5879
0.0000 6.8620 0.0000
0.0000 0.0000 6.8620
0.0000 4.5879 2.2939
0.0000 2.2939 4.5879

---

Th2NiGe4Rh3 PBE-GGA relaxed; space group = P-4m2
1.0
4.2616 0.0000 0.0000
0.0000 4.2616 0.0000
0.0000 0.0000 10.0724
Th Ni Ge Rh
2 1 4 3
Cartesian
0.0000 2.1308 2.4995
2.1308 0.0000 7.5729
2.1308 2.1308 0.0000
0.0000 0.0000 5.0362
0.0000 2.1308 8.7948
2.1308 0.0000 1.2776
2.1308 2.1308 5.0362
0.0000 0.0000 0.0000
0.0000 2.1308 6.3411
2.1308 0.0000 3.7313

---

ThNiGe2Rh5 PBE-GGA relaxed; space group = P4/mmm
1.0
4.5959 0.0000 0.0000
0.0000 4.5959 0.0000
0.0000 0.0000 7.3253
Th Ni Ge Rh
1 1 2 5
Cartesian
0.0000 0.0000 0.0000
0.0000 0.0000 3.6626
2.2979 2.2979 2.4542
2.2979 2.2979 4.8711
0.0000 2.2979 2.0031
0.0000 2.2979 5.3221
2.2979 0.0000 2.0031
2.2979 0.0000 5.3221
2.2979 2.2979 0.0000

---

TiNiGeRh PBE-GGA relaxed; space group = I-4m2
1.0
3.8611 0.0000 0.0000
0.0000 3.8611 0.0000
0.0000 0.0000 7.3557
Ti Ni Ge Rh
2 2 2 2
Cartesian
0.0000 0.0000 0.0000
1.9306 1.9306 3.6778
0.0000 1.9306 5.5168
1.9306 0.0000 1.8389
0.0000 0.0000 3.6778
1.9306 1.9306 0.0000
0.0000 1.9306 1.8389
1.9306 0.0000 5.5168

---

Tm2Ni4Ge3Rh PBE-GGA relaxed; space group = P-4m2
1.0
3.9081 0.0000 0.0000
0.0000 3.9081 0.0000
0.0000 0.0000 10.3355
Tm Ni Ge Rh
2 4 3 1
Cartesian
0.0000 1.9541 2.5876
1.9541 0.0000 7.7479
0.0000 0.0000 0.0000
0.0000 1.9541 6.6826
1.9541 0.0000 3.6529
1.9541 1.9541 0.0000
0.0000 1.9541 8.9908
1.9541 0.0000 1.3447
1.9541 1.9541 5.1678
0.0000 0.0000 5.1678

---

Tm2Ni3Ge4Rh PBE-GGA relaxed; space group = P-4m2
1.0
4.0441 0.0000 0.0000
0.0000 4.0441 0.0000
0.0000 0.0000 9.9079
Tm Ni Ge Rh
2 3 4 1
Cartesian
0.0000 2.0221 2.4231
2.0221 0.0000 7.4848
0.0000 2.0221 8.6518
2.0221 0.0000 1.2560
2.0221 2.0221 4.9539
0.0000 0.0000 0.0000
0.0000 2.0221 6.3444
2.0221 0.0000 3.5635
2.0221 2.0221 0.0000
0.0000 0.0000 4.9539

---

TmNiGe2Rh2 PBE-GGA relaxed; space group = P4/mmm
1.0
4.4040 0.0000 0.0000
0.0000 4.4040 0.0000
0.0000 0.0000 5.4457
Tm Ni Ge Rh
1 1 2 2
Cartesian
0.0000 0.0000 0.0000
0.0000 0.0000 2.7229
0.0000 2.2020 2.7229
2.2020 0.0000 2.7229
2.2020 2.2020 1.3081
2.2020 2.2020 4.1377

---

Quick rundown of calculated total energy, same order as above: -0.242 -0.265 -0.255 -0.250 -0.258 -0.218 -0.218 -0.221 hartree per atom
Quick rundown of DFT formation energy, same order as above: -0.38 -0.35 -0.82 -0.22 -0.61 -0.61 -0.71 -0.31 eV per atom
Quick rundown of magnetization, same order as above: 0.0 0.2 0.0 1.0 0.0 0.0 0.0 0.0 μB/cell